P:
## Mn2HF (PBE with a Hubbard U)

Data for crystalline Mn2HF at its relaxed geometry.

Structure (POSCAR):
```
Mn2HF
1.0
4.9021 0.0000 0.0000
0.0000 4.9021 0.0000
2.4510 2.4510 4.5277
Mn F H
4 2 2
direct
0.8750 0.8311 0.7500 Mn
0.3750 0.4189 0.7500 Mn
0.1689 0.6250 0.2500 Mn
0.5811 0.1250 0.2500 Mn
0.7500 0.2500 0.5000 F
0.0000 0.0000 0.0000 F
0.2500 0.7500 0.5000 H
0.5000 0.5000 0.0000 H
```

Properties
**Volume**: 13.6 Å³/atom
**Total magnetization**: 17.49 μB per cell

---

Q:
## Mn2HF (PBE with a Hubbard U)

Data for crystalline Mn2HF at its relaxed geometry.

Structure (POSCAR):
```
Mn2HF
1.0
0.0000 2.9856 2.9856
2.9856 0.0000 2.9856
2.9856 2.9856 0.0000
F Mn H
1 2 1
direct
0.5000 0.5000 0.5000 F
0.7500 0.7500 0.7500 Mn
0.2500 0.2500 0.2500 Mn
0.0000 0.0000 0.0000 H
```

Properties
**Volume**: 13.3 Å³/atom
**Total magnetization**: 9.56 μB per cell

---

Which of them is the least stable? Correct choice: Q.

---

P:
## MnHNF2 (PBE with a Hubbard U)

Data for crystalline MnHNF2 at its relaxed geometry.

Structure (POSCAR):
```
MnHNF2
1.0
3.9794 0.0000 0.0000
0.0000 3.9794 0.0000
0.0000 0.0000 3.9351
Mn N F H
1 1 2 1
direct
0.0000 0.0000 0.0000 Mn
0.0000 0.0000 0.5000 N
0.5000 0.0000 0.0000 F
0.0000 0.5000 0.0000 F
0.5000 0.5000 0.5000 H
```

Properties
**Volume**: 12.5 Å³/atom
**Total magnetization**: 3.00 μB per cell

---

Q:
## MnHNF2 (PBE with a Hubbard U)

Data for crystalline MnHNF2 at its relaxed geometry.

Structure (POSCAR):
```
MnHNF2
1.0
-1.4949 3.8121 -0.7837
-1.5025 -1.2679 -3.3012
-3.5339 -0.9779 1.9841
H Mn N F
1 1 1 2
direct
0.5000 0.5000 0.5000 H
0.0000 0.5000 0.0000 Mn
0.0000 0.0000 0.0000 N
0.5000 0.0000 0.0000 F
0.0000 0.0000 0.5000 F
```

Properties
**Volume**: 13.4 Å³/atom
**Total magnetization**: 5.02 μB per cell

---

Which of them is the least stable? Correct choice: Q.

---

P:
## MnHN2F (PBE with a Hubbard U)

Data for crystalline MnHN2F at its relaxed geometry.

Structure (POSCAR):
```
MnHN2F
1.0
3.8893 0.0000 0.0000
0.0000 3.8893 0.0000
0.0000 0.0000 4.0465
N H F Mn
2 1 1 1
direct
0.5000 0.0000 0.0000 N
0.0000 0.5000 0.0000 N
0.5000 0.5000 0.5000 H
0.0000 0.0000 0.5000 F
0.0000 0.0000 0.0000 Mn
```

Properties
**Volume**: 12.2 Å³/atom
**Total magnetization**: 1.00 μB per cell

---

Q:
## MnHN2F (PBE with a Hubbard U)

Data for crystalline MnHN2F at its relaxed geometry.

Structure (POSCAR):
```
MnHN2F
1.0
-1.8333 -0.0068 -2.4189
-1.0478 -2.7334 0.8018
-3.2828 1.9866 2.4824
H F Mn N
1 1 1 2
direct
0.0000 0.0000 0.0000 H
0.0000 0.0000 0.5000 F
0.5000 0.5000 0.5000 Mn
0.5000 0.0000 0.0000 N
0.0000 0.5000 0.0000 N
```

Properties
**Volume**: 8.4 Å³/atom
**Total magnetization**: 4.49 μB per cell

---

Which of them is the least stable? Correct choice: P.

---

P:
## MoH2F (PBE with a Hubbard U)

Data for crystalline MoH2F at its relaxed geometry.

Structure (POSCAR):
```
MoH2F
1.0
-1.5099 2.4938 2.1694
-0.6648 3.3425 -1.2615
-3.4224 1.0771 -0.5766
H Mo F
2 1 1
direct
0.2500 0.2500 0.2500 H
0.7500 0.7500 0.7500 H
0.5000 0.5000 0.5000 Mo
0.0000 0.0000 0.0000 F
```

Properties
**Volume**: 8.5 Å³/atom
**Total magnetization**: 3.00 μB per cell

---

Q:
## MoH2F (PBE with a Hubbard U)

Data for crystalline MoH2F at its relaxed geometry.

Structure (POSCAR):
```
MoH2F
1.0
6.9816 0.0000 0.0000
0.0000 6.9816 0.0000
3.4908 3.4908 2.1015
F Mo H
2 2 4
direct
0.5000 0.5000 0.0000 F
0.2500 0.7500 0.5000 F
0.7500 0.2500 0.5000 Mo
0.0000 0.0000 0.0000 Mo
0.7850 0.1250 0.2500 H
0.9650 0.6250 0.2500 H
0.8750 0.0350 0.7500 H
0.3750 0.2150 0.7500 H
```

Properties
**Volume**: 12.8 Å³/atom
**Total magnetization**: 6.00 μB per cell

---

Which of them is the least stable? Correct choice: P.

---

P:
## Mo2HF (PBE with a Hubbard U)

Data for crystalline Mo2HF at its relaxed geometry.

Structure (POSCAR):
```
Mo2HF
1.0
4.5252 0.0000 0.0000
0.0000 4.5252 0.0000
2.2626 2.2626 5.1258
F H Mo
2 2 4
direct
0.0000 0.0000 0.0000 F
0.7500 0.2500 0.5000 F
0.5000 0.5000 0.0000 H
0.2500 0.7500 0.5000 H
0.8750 0.8002 0.7500 Mo
0.1998 0.6250 0.2500 Mo
0.5502 0.1250 0.2500 Mo
0.3750 0.4498 0.7500 Mo
```

Properties
**Volume**: 13.1 Å³/atom
**Total magnetization**: 3.86 μB per cell

---

Q:
## Mo2HF (PBE with a Hubbard U)

Data for crystalline Mo2HF at its relaxed geometry.

Structure (POSCAR):
```
Mo2HF
1.0
0.0000 3.2113 3.2113
3.2113 0.0000 3.2113
3.2113 3.2113 0.0000
Mo F H
2 1 1
direct
0.2500 0.2500 0.2500 Mo
0.7500 0.7500 0.7500 Mo
0.5000 0.5000 0.5000 F
0.0000 0.0000 0.0000 H
```

Properties
**Volume**: 16.6 Å³/atom
**Total magnetization**: 10.00 μB per cell

---

Which of them is the least stable? Correct choice: Q.

---

P:
## MoH2F6 (PBE with a Hubbard U)

Data for crystalline MoH2F6 at its relaxed geometry.

Structure (POSCAR):
```
MoH2F6
1.0
5.3085 0.0428 0.0414
1.5867 6.5895 0.1089
1.5867 0.3223 6.5825
F H Mo
12 4 2
direct
0.0334 0.2173 0.0466 F
0.9862 0.8507 0.3646 F
0.5334 0.0466 0.2173 F
0.4666 0.9534 0.7827 F
0.5138 0.6354 0.1493 F
0.9744 0.4575 0.2768 F
0.4862 0.3646 0.8507 F
0.0138 0.1493 0.6354 F
0.5256 0.7232 0.5425 F
0.0256 0.5425 0.7232 F
0.4744 0.2768 0.4575 F
0.9666 0.7827 0.9534 F
0.5010 0.1665 0.3392 H
0.9990 0.6608 0.8335 H
0.0010 0.3392 0.1665 H
0.4990 0.8335 0.6608 H
0.2500 0.2467 0.7533 Mo
0.7500 0.7533 0.2467 Mo
```

Properties
**Volume**: 12.7 Å³/atom
**Total magnetization**: 4.00 μB per cell

---

Q:
## MoH2F6 (PBE with a Hubbard U)

Data for crystalline MoH2F6 at its relaxed geometry.

Structure (POSCAR):
```
MoH2F6
1.0
-4.4755 1.7573 1.0158
-2.5155 0.5363 7.9263
-0.9232 8.0513 1.9406
F Mo H
12 2 4
direct
0.6581 0.3073 0.4161 F
0.9042 0.8480 0.3546 F
0.5958 0.6454 0.1520 F
0.3805 0.0552 0.1542 F
0.8419 0.5839 0.6927 F
0.1195 0.8458 0.9448 F
0.0958 0.1520 0.6454 F
0.3419 0.6927 0.5839 F
0.8805 0.1542 0.0552 F
0.6195 0.9448 0.8458 F
0.4042 0.3546 0.8480 F
0.1581 0.4161 0.3073 F
0.7500 0.1198 0.8802 Mo
0.2500 0.8802 0.1198 Mo
0.3287 0.3742 0.3545 H
0.1713 0.6454 0.6258 H
0.6713 0.6258 0.6454 H
0.8287 0.3545 0.3742 H
```

Properties
**Volume**: 14.3 Å³/atom
**Total magnetization**: 4.00 μB per cell

---

Which of them is the least stable? Correct choice: Q.

---

P:
## MoHNF2 (PBE with a Hubbard U)

Data for crystalline MoHNF2 at its relaxed geometry.

Structure (POSCAR):
```
MoHNF2
1.0
3.1591 0.0000 0.0000
0.0000 3.1591 0.0000
0.0000 0.0000 4.5179
H F N Mo
1 2 1 1
direct
0.0000 0.0000 0.0000 H
0.5000 0.0000 0.0000 F
0.0000 0.5000 0.0000 F
0.0000 0.0000 0.5000 N
0.5000 0.5000 0.5000 Mo
```

Properties
**Volume**: 9.0 Å³/atom
**Total magnetization**: 2.00 μB per cell

---

Q:
## MoHNF2 (PBE with a Hubbard U)

Data for crystalline MoHNF2 at its relaxed geometry.

Structure (POSCAR):
```
MoHNF2
1.0
-3.6850 1.9851 0.2137
-1.8348 -3.1902 -2.0054
-0.7424 -1.7512 3.4651
F Mo H N
2 1 1 1
direct
0.5000 0.0000 0.0000 F
0.0000 0.5000 0.0000 F
0.0000 0.0000 0.0000 Mo
0.5000 0.5000 0.5000 H
0.0000 0.0000 0.5000 N
```

Properties
**Volume**: 13.9 Å³/atom
**Total magnetization**: 2.00 μB per cell

---

Which of them is the least stable? Correct choice: P.

---

P:
## MoHN2F (PBE with a Hubbard U)

Data for crystalline MoHN2F at its relaxed geometry.

Structure (POSCAR):
```
MoHN2F
1.0
3.3017 0.0000 0.0000
0.0000 3.3017 0.0000
0.0000 0.0000 3.7205
F N Mo H
1 2 1 1
direct
0.0000 0.0000 0.5000 F
0.5000 0.0000 0.0000 N
0.0000 0.5000 0.0000 N
0.5000 0.5000 0.5000 Mo
0.0000 0.0000 0.0000 H
```

Properties
**Volume**: 8.1 Å³/atom
**Total magnetization**: 1.91 μB per cell

---

Q:
## MoHN2F (PBE with a Hubbard U)

Data for crystalline MoHN2F at its relaxed geometry.

Structure (POSCAR):
```
MoHN2F
1.0
4.0010 0.0000 0.0000
0.0000 4.1836 0.0000
0.0000 0.0000 4.0010
N H F Mo
2 1 1 1
direct
0.5000 0.0000 0.0000 N
0.0000 0.0000 0.5000 N
0.5000 0.5000 0.5000 H
0.0000 0.5000 0.0000 F
0.0000 0.0000 0.0000 Mo
```

Properties
**Volume**: 13.4 Å³/atom
**Total magnetization**: 0.00 μB per cell

---

Which of them is the least stable? Correct choice: P.